No. 1
Density functional theory data (PBE-GGA) for CrNi2Au after structural relaxation.

Lattice parameters (Å, degrees): 4.5313 4.5313 4.5313 130.34 130.34 72.86
Last column: nearest neighbours and their distance in Å.
Positions (direct):
Au 0.2500 0.7500 0.5000  8 Ni 2.64, 4 Cr 2.69
Cr 0.7500 0.2500 0.5000  8 Ni 2.64, 4 Au 2.69
Ni 0.0000 0.0000 0.0000  4 Cr 2.64, 4 Au 2.64, 4 Ni 2.69
Ni 0.5000 0.5000 0.0000  4 Au 2.64, 4 Cr 2.64, 4 Ni 2.69

Output
Magnetic moment   2.62 μB/f.u.
Energy   -6.012 eV per atom
Formation energy   0.104 eV per atom

=====

No. 2
Density functional theory data (PBE-GGA) for CrNiAu after structural relaxation.

Lattice parameters (Å, degrees): 5.9112 5.9112 2.6954 76.82 76.82 26.36
Last column: nearest neighbours and their distance in Å.
Positions (direct):
Au 0.9999 0.9999 0.0001  4 Au 2.70, 4 Cr 2.79, 4 Ni 2.79
Cr 0.3180 0.3180 0.6820  4 Ni 2.44, 4 Cr 2.70
Ni 0.6821 0.6821 0.3179  4 Cr 2.44, 4 Ni 2.70

Output
Magnetic moment   0.00 μB/f.u.
Excess energy over the best structure of this formula in the dataset   0.13 eV/f.u.
Energy   -6.021 eV per atom
Formation energy   0.207 eV per atom

=====

No. 3
Density functional theory data (PBE-GGA) for CrNiAu2 after structural relaxation.

Lattice parameters (Å, degrees): 7.1489 7.1489 5.7257 51.37 51.37 90.00
Last column: nearest neighbours and their distance in Å.
Positions (direct):
Ni 0.0000 0.0000 0.0000  4 Au 2.52, 2 Cr 2.69
Ni 0.7500 0.2500 0.5000  4 Au 2.52, 2 Cr 2.69
Au 0.6441 0.1250 0.2500  2 Ni 2.52, 2 Au 2.70, 2 Cr 2.71
Au 0.1059 0.6250 0.2500  2 Ni 2.52, 2 Au 2.70, 2 Cr 2.71
Au 0.3750 0.3559 0.7500  2 Ni 2.52, 2 Au 2.70, 2 Cr 2.71
Au 0.8750 0.8941 0.7500  2 Ni 2.52, 2 Au 2.70, 2 Cr 2.71
Cr 0.5000 0.5000 0.0000  2 Ni 2.69, 4 Au 2.71
Cr 0.2500 0.7500 0.5000  2 Ni 2.69, 4 Au 2.71

Output
Magnetic moment   4.22 μB/f.u.
Energy   -5.064 eV per atom
Formation energy   0.425 eV per atom

=====

No. 4
Density functional theory data (PBE-GGA) for CrNiAu2 after structural relaxation.

Lattice parameters (Å, degrees): 8.7294 8.7294 8.7294 19.28 19.28 19.28
Last column: nearest neighbours and their distance in Å.
Positions (direct):
Au 0.0018 0.0018 0.0018  3 Ni 2.69, 3 Cr 2.76, 6 Au 2.92
Au 0.4982 0.4982 0.4982  3 Ni 2.69, 3 Cr 2.76, 6 Au 2.92
Cr 0.2500 0.2500 0.2500  6 Au 2.76, 6 Cr 2.92
Ni 0.7500 0.7500 0.7500  6 Au 2.69, 6 Ni 2.92

Output
Magnetic moment   3.12 μB/f.u.
Energy   -5.164 eV per atom
Formation energy   0.326 eV per atom

=====

No. 5
Density functional theory data (PBE-GGA) for CrNiAu2 after structural relaxation.

Lattice parameters (Å, degrees): 4.8749 4.8749 4.8749 132.64 132.46 69.36
Last column: nearest neighbours and their distance in Å.
Positions (direct):
Au 0.0003 0.0003 0.0000  4 Cr 2.77, 4 Ni 2.80-2.81, 4 Au 2.80
Au 0.7498 0.2498 0.5000  4 Ni 2.77, 4 Cr 2.80, 4 Au 2.80
Cr 0.4994 0.4994 0.0000  8 Au 2.77-2.80, 4 Ni 2.80-2.81
Ni 0.2506 0.7506 0.5000  8 Au 2.77-2.81, 4 Cr 2.80-2.81

Output
Magnetic moment   3.58 μB/f.u.
Energy   -5.377 eV per atom
Formation energy   0.113 eV per atom

=====

No. 6
Density functional theory data (PBE-GGA) for CrNiAu after structural relaxation.

Lattice parameters (Å, degrees): 4.8515 4.8515 4.8515 142.32 142.32 54.35
Last column: nearest neighbours and their distance in Å.
Positions (direct):
Au 0.0003 0.0003 0.0000  5 Ni 2.72-2.74, 5 Cr 2.72-2.73
Cr 0.3166 0.3166 0.0000  4 Ni 2.50, 5 Au 2.72-2.73
Ni 0.6831 0.6831 0.0000  4 Cr 2.50, 5 Au 2.72-2.74

Output
Magnetic moment   2.53 μB/f.u.
Excess energy over the best structure of this formula in the dataset   0.02 eV/f.u.
Energy   -6.057 eV per atom
Formation energy   0.170 eV per atom

=====

No. 7
Density functional theory data (PBE-GGA) for CrNiAu4 after structural relaxation.

Lattice parameters (Å, degrees): 5.4174 5.4174 5.4174 60.00 60.00 60.00
Last column: nearest neighbours and their distance in Å.
Positions (direct):
Cr 0.7500 0.7500 0.7500  12 Au 3.18, 4 Ni 3.32
Ni 0.0000 0.0000 0.0000  12 Au 3.18, 4 Cr 3.32
Au 0.8754 0.3749 0.3749  6 Au 2.71
Au 0.3749 0.3749 0.8754  6 Au 2.71
Au 0.3749 0.8754 0.3749  6 Au 2.71
Au 0.3749 0.3749 0.3749  6 Au 2.71

Output
Magnetic moment   3.80 μB/f.u.
Energy   -4.344 eV per atom
Formation energy   0.408 eV per atom

=====

No. 8
Density functional theory data (PBE-GGA) for CrNi2Au after structural relaxation.

Lattice parameters (Å, degrees): 4.2504 4.2504 4.2504 60.00 60.00 60.00
Last column: nearest neighbours and their distance in Å.
Positions (direct):
Au 0.5000 0.5000 0.5000  4 Ni 2.60, 4 Cr 2.60
Cr 0.7500 0.7500 0.7500  4 Ni 2.60, 4 Au 2.60
Ni 0.0000 0.0000 0.0000  4 Cr 2.60, 4 Ni 2.60
Ni 0.2500 0.2500 0.2500  4 Ni 2.60, 4 Au 2.60

Output
Magnetic moment   3.03 μB/f.u.
Energy   -5.883 eV per atom
Formation energy   0.233 eV per atom

=====

> Which formula does entry 8 have?

CrNi2Au